[1]
# HgPb2W (PBEsol, relaxed)
# * magnetization: 0.001 μB per cell
# * ΔH_f (0 K): 0.594 eV per atom
data_HgPb2W
_chemical_formula_sum 'Hg2 Pb4 W2'
_cell_length_a 3.642
_cell_length_b 4.859
_cell_length_c 10.883
_cell_angle_alpha 90.00
_cell_angle_beta 90.00
_cell_angle_gamma 90.00
_symmetry_space_group_name_H-M 'C m m m'
_symmetry_Int_Tables_number 65
_symmetry_space_group_name_Hall '-C 2 2'
loop_
_atom_site_label
_atom_site_fract_x
_atom_site_fract_y
_atom_site_fract_z
Hg1 0.000 0.000 0.000
Pb1 0.000 0.500 0.288
W1 0.000 0.000 0.500

[2]
# NiIr2Rh (PBEsol, relaxed)
# * magnetization: 1.446 μB per cell
# * ΔH_f (0 K): 0.032 eV per atom
data_NiIr2Rh
_chemical_formula_sum 'Ni3 Ir6 Rh3'
_cell_length_a 2.6742
_cell_length_b 2.6742
_cell_length_c 25.4927
_cell_angle_alpha 90.00
_cell_angle_beta 90.00
_cell_angle_gamma 120.00
_symmetry_space_group_name_H-M 'R 3 m'
_symmetry_Int_Tables_number 160
_symmetry_space_group_name_Hall 'R 3 -2"'
loop_
_atom_site_label
_atom_site_fract_x
_atom_site_fract_y
_atom_site_fract_z
Ni1 0.0000 0.0000 0.0000
Ir1 0.0000 0.0000 0.2532
Ir2 0.0000 0.0000 0.4998
Rh1 0.0000 0.0000 0.7470

[3]
# ZrBeSiRh2 (PBEsol, relaxed)
# * formation energy without anion corrections: 1.38 eV/atom
# * magnetization: 0.000 μB per cell
data_ZrBeSiRh2
_chemical_formula_sum 'Zr1 Be1 Si1 Rh2'
_cell_length_a 4.676
_cell_length_b 4.676
_cell_length_c 4.541
_cell_angle_alpha 90.00
_cell_angle_beta 90.00
_cell_angle_gamma 90.00
_symmetry_space_group_name_H-M 'P 4/m m m'
_symmetry_Int_Tables_number 123
_symmetry_space_group_name_Hall '-P 4 2'
loop_
_atom_site_label
_atom_site_fract_x
_atom_site_fract_y
_atom_site_fract_z
Zr1 0.000 0.000 0.000
Be1 0.000 0.000 0.500
Si1 0.500 0.500 0.500
Rh1 0.000 0.500 0.000

[4]
# MgZnNi2 (PBEsol, relaxed)
# * magnetization: 0.001 μB per cell
# * ΔH_f (0 K): -0.137 eV per atom
data_MgZnNi2
_chemical_formula_sum 'Mg2 Zn2 Ni4'
_cell_length_a 9.092
_cell_length_b 2.729
_cell_length_c 4.272
_cell_angle_alpha 90.00
_cell_angle_beta 109.58
_cell_angle_gamma 90.00
_symmetry_space_group_name_H-M 'C 1 m 1'
_symmetry_Int_Tables_number 8
loop_
_symmetry_equiv_pos_as_xyz
'x,y,z'
'x,-y,z'
'x+1/2,y+1/2,z'
'x+1/2,-y+1/2,z'
loop_
_atom_site_label
_atom_site_fract_x
_atom_site_fract_y
_atom_site_fract_z
Mg1 0.000 0.000 0.000
Zn1 0.224 0.000 0.646
Ni1 0.255 0.500 0.171
Ni2 0.481 0.000 0.493

[5]
# CrHgAsBr2 (PBEsol, relaxed)
# * formation energy without anion corrections: 0.07 eV/atom
# * magnetization: 2.413 μB per cell
data_CrHgAsBr2
_chemical_formula_sum 'Cr1 Hg1 As1 Br2'
_cell_length_a 4.979
_cell_length_b 4.979
_cell_length_c 4.840
_cell_angle_alpha 90.00
_cell_angle_beta 90.00
_cell_angle_gamma 90.00
_symmetry_space_group_name_H-M 'P 4/m m m'
_symmetry_Int_Tables_number 123
_symmetry_space_group_name_Hall '-P 4 2'
loop_
_atom_site_label
_atom_site_fract_x
_atom_site_fract_y
_atom_site_fract_z
Cr1 0.000 0.000 0.000
Hg1 0.500 0.500 0.500
As1 0.000 0.000 0.500
Br1 0.000 0.500 0.000

[6]
# MgTlMoIr2 (PBEsol, relaxed)
# * magnetization: 3.906 μB per cell
# * ΔH_f (0 K): 2.205 eV per atom
data_MgTlMoIr2
_chemical_formula_sum 'Mg1 Tl1 Mo1 Ir2'
_cell_length_a 4.928
_cell_length_b 4.928
_cell_length_c 5.000
_cell_angle_alpha 90.00
_cell_angle_beta 90.00
_cell_angle_gamma 90.00
_symmetry_space_group_name_H-M 'P 4/m m m'
_symmetry_Int_Tables_number 123
_symmetry_space_group_name_Hall '-P 4 2'
loop_
_atom_site_label
_atom_site_fract_x
_atom_site_fract_y
_atom_site_fract_z
Mg1 0.000 0.000 0.000
Tl1 0.500 0.500 0.500
Mo1 0.500 0.500 0.000
Ir1 0.000 0.500 0.500

[7]
# LaTl2P2S7 (PBEsol, relaxed)
# * formation energy without anion corrections: -0.78 eV/atom
# * magnetization: 0.000 μB per cell
data_LaTl2P2S7
_chemical_formula_sum 'La4 Tl8 P8 S28'
_cell_length_a 20.489
_cell_length_b 6.533
_cell_length_c 9.224
_cell_angle_alpha 90.00
_cell_angle_beta 108.47
_cell_angle_gamma 90.00
_symmetry_space_group_name_H-M 'C 1 2/m 1'
_symmetry_Int_Tables_number 12
loop_
_symmetry_equiv_pos_as_xyz
'x,y,z'
'-x,-y,-z'
'-x,y,-z'
'x,-y,z'
'x+1/2,y+1/2,z'
'-x+1/2,-y+1/2,-z'
'-x+1/2,y+1/2,-z'
'x+1/2,-y+1/2,z'
loop_
_atom_site_label
_atom_site_fract_x
_atom_site_fract_y
_atom_site_fract_z
La1 0.154 0.000 0.338
Tl1 0.008 0.500 0.754
Tl2 0.181 0.000 0.820
P1 0.047 0.000 0.966
P2 0.164 0.500 0.570
S1 0.010 0.000 0.737
S2 0.100 0.254 0.062
S3 0.102 0.252 0.540
S4 0.213 0.500 0.404
S5 0.233 0.500 0.784

[8]
# Mn2CdCl (PBEsol, relaxed)
# * formation energy without anion corrections: 0.33 eV/atom
# * magnetization: 15.014 μB per cell
data_Mn2CdCl
_chemical_formula_sum 'Mn4 Cd2 Cl2'
_cell_length_a 2.950
_cell_length_b 4.555
_cell_length_c 10.731
_cell_angle_alpha 90.00
_cell_angle_beta 90.00
_cell_angle_gamma 90.00
_symmetry_space_group_name_H-M 'I m m 2'
_symmetry_Int_Tables_number 44
loop_
_symmetry_equiv_pos_as_xyz
'x,y,z'
'-x,-y,z'
'-x,y,z'
'x,-y,z'
'x+1/2,y+1/2,z+1/2'
'-x+1/2,-y+1/2,z+1/2'
'-x+1/2,y+1/2,z+1/2'
'x+1/2,-y+1/2,z+1/2'
loop_
_atom_site_label
_atom_site_fract_x
_atom_site_fract_y
_atom_site_fract_z
Mn1 0.000 0.000 0.000
Mn2 0.000 0.500 0.293
Cd1 0.000 0.500 0.838
Cl1 0.000 0.000 0.610